# 1
Compound: Zn3Te2Cl2O6
Source: OQMD via LeMat-Bulk
Functional: GGA-PBE
Structure: relaxed

Results
V	17.097	A^3/atom
calculated total energy	-116.75	eV for the cell shown

Lattice parameters (Å, degrees): 9.406 6.451 7.753 90.00 109.11 90.00
Space group C2/m (No. 12)
One atom of each set of equivalent atoms:
Zn: 0.000 0.000 0.000 x2
Zn: 0.075 0.500 0.845 x4
Te: 0.160 0.000 0.718 x4
Cl: 0.216 0.500 0.638 x4
O: 0.083 0.193 0.852 x8
O: 0.138 0.500 0.134 x4

# 2
Compound: HfP2Cl2O6
Source: OQMD via LeMat-Bulk
Functional: GGA-PBE
Structure: relaxed

Results
V	14.809	A^3/atom
calculated total energy	-79.24	eV for the cell shown

Lattice parameters (Å, degrees): 5.5221 5.5221 6.1685 90.00 90.00 120.00
Space group P-3m1 (No. 164)
One atom of each set of equivalent atoms:
Hf: 0.0000 0.0000 0.0000 x1
P: 0.3333 0.6667 0.2492 x2
Cl: 0.3333 0.6667 0.5714 x2
O: 0.1805 0.3610 0.1799 x6

# 3
Compound: ZrTe8Cl6
Source: OQMD via LeMat-Bulk
Functional: GGA-PBE
Structure: relaxed

Results
V	34.428	A^3/atom
calculated total energy	-110.10	eV for the cell shown

Lattice parameters (Å, degrees): 7.170 8.994 16.898 104.23 100.16 93.79
Space group P-1 (No. 2)
One atom of each set of equivalent atoms:
Zr: 0.000 0.000 0.000 x1
Zr: 0.000 0.000 0.500 x1
Te: 0.205 0.448 0.221 x2
Te: 0.228 0.663 0.670 x2
Te: 0.283 0.498 0.890 x2
Te: 0.283 0.704 0.162 x2
Te: 0.336 0.250 0.767 x2
Te: 0.349 0.574 0.392 x2
Te: 0.450 0.724 0.827 x2
Te: 0.458 0.288 0.401 x2
Cl: 0.006 0.065 0.151 x2
Cl: 0.074 0.267 0.484 x2
Cl: 0.100 0.886 0.367 x2
Cl: 0.169 0.262 0.014 x2
Cl: 0.311 0.893 0.025 x2
Cl: 0.334 0.016 0.579 x2

# 4
Compound: NpIrPb
Source: OQMD via LeMat-Bulk
Functional: GGA-PBE
Structure: relaxed

Results
V	25.115	A^3/atom
excess energy over the best structure of this formula in the dataset	0.000	eV/atom

Lattice parameters (Å, degrees): 6.705 6.705 6.705 90.00 90.00 90.00
Space group F-43m (No. 216)
One atom of each set of equivalent atoms:
Np: 0.000 0.000 0.000 x4
Ir: 0.250 0.250 0.750 x4
Pb: 0.000 0.000 0.500 x4

# 5
Compound: NiSnMoAu
Source: OQMD via LeMat-Bulk
Functional: GGA-PBE
Structure: relaxed

Results
V	16.605	A^3/atom
calculated total energy	-90.65	eV for the cell shown

Lattice parameters (Å, degrees): 6.429 6.429 6.429 90.00 90.00 90.00
Space group F-43m (No. 216)
One atom of each set of equivalent atoms:
Ni: 0.000 0.000 0.000 x4
Sn: 0.250 0.250 0.750 x4
Mo: 0.000 0.000 0.500 x4
Au: 0.250 0.250 0.250 x4

# 6
Compound: Dy2Tm2Lu3Ni2Te2
Source: OQMD via LeMat-Bulk
Functional: GGA-PBE
Structure: relaxed

Results
V	25.637	A^3/atom
excess energy over the best structure of this formula in the dataset	0.007	eV/atom

Lattice parameters (Å, degrees): 3.837 15.466 9.505 90.00 90.00 90.00
Space group Imm2 (No. 44)
One atom of each set of equivalent atoms:
Dy: 0.000 0.134 0.000 x4
Tm: 0.000 0.315 0.795 x4
Lu: 0.000 0.000 0.419 x2
Lu: 0.000 0.354 0.147 x4
Ni: 0.000 0.235 0.487 x4
Te: 0.000 0.000 0.756 x2
Te: 0.000 0.500 0.652 x2

# 7
Compound: SrAgNO
Source: OQMD via LeMat-Bulk
Functional: GGA-PBE
Structure: relaxed

Results
V	19.244	A^3/atom
excess energy over the best structure of this formula in the dataset	0.000	eV/atom

Lattice parameters (Å, degrees): 4.292 4.292 8.359 90.00 90.00 90.00
Space group P4/nmm (No. 129, origin choice 2)
One atom of each set of equivalent atoms:
Sr: 0.250 0.250 0.126 x2
Ag: 0.250 0.750 0.500 x2
N: 0.250 0.250 0.449 x2
O: 0.250 0.750 0.000 x2

# 8
Compound: PaTlPd
Source: OQMD via LeMat-Bulk
Functional: GGA-PBE
Structure: relaxed

Results
V	27.558	A^3/atom
excess energy over the best structure of this formula in the dataset	0.603	eV/atom

Lattice parameters (Å, degrees): 6.915 6.915 6.915 90.00 90.00 90.00
Space group F-43m (No. 216)
One atom of each set of equivalent atoms:
Pa: 0.000 0.000 0.000 x4
Tl: 0.250 0.250 0.250 x4
Pd: 0.250 0.250 0.750 x4

# 9
Compound: SmGd2In3Ni2Ag
Source: OQMD via LeMat-Bulk
Functional: GGA-PBE
Structure: relaxed

Results
V	21.922	A^3/atom
calculated total energy	-80.66	eV for the cell shown

Lattice parameters (Å, degrees): 3.956 13.140 7.590 90.00 90.00 90.00
Space group Amm2 (No. 38)
One atom of each set of equivalent atoms:
Sm: 0.000 0.000 0.000 x2
Gd: 0.000 0.208 0.623 x4
In: 0.500 0.000 0.683 x2
In: 0.500 0.135 0.282 x4
Ni: 0.500 0.168 0.915 x4
Ag: 0.000 0.000 0.416 x2

# 10
Compound: Nd2YAl3CoCu2
Source: OQMD via LeMat-Bulk
Functional: GGA-PBE
Structure: relaxed

Results
V	19.736	A^3/atom
calculated total energy	-90.63	eV for the cell shown

Lattice parameters (Å, degrees): 4.122 12.366 6.969 90.00 90.00 90.00
Space group Amm2 (No. 38)
One atom of each set of equivalent atoms:
Nd: 0.000 0.206 0.000 x4
Y: 0.000 0.000 0.615 x2
Al: 0.500 0.000 0.982 x2
Al: 0.500 0.110 0.322 x4
Co: 0.000 0.000 0.211 x2
Cu: 0.500 0.162 0.703 x4

# 11
Compound: SiAsOsO
Source: OQMD via LeMat-Bulk
Functional: GGA-PBE
Structure: relaxed

Results
V	14.636	A^3/atom
excess energy over the best structure of this formula in the dataset	0.247	eV/atom

Lattice parameters (Å, degrees): 3.794 5.829 5.295 90.00 90.00 90.00
Space group Pmc2_1 (No. 26)
One atom of each set of equivalent atoms:
Si: 0.000 0.227 0.000 x2
As: 0.000 0.219 0.473 x2
Os: 0.500 0.441 0.641 x2
O: 0.500 0.228 0.966 x2

# 12
Compound: PrIn3
Source: OQMD via LeMat-Bulk
Functional: GGA-PBE
Structure: relaxed

Results
V	26.410	A^3/atom
calculated total energy	-14.87	eV for the cell shown

Lattice parameters (Å, degrees): 4.727 4.727 4.727 90.00 90.00 90.00
Space group Pm-3m (No. 221)
One atom of each set of equivalent atoms:
Pr: 0.000 0.000 0.000 x1
In: 0.000 0.500 0.500 x3

# 13
Compound: NaHoZnS3
Source: OQMD via LeMat-Bulk
Functional: GGA-PBE
Structure: relaxed

Results
V	22.244	A^3/atom
excess energy over the best structure of this formula in the dataset	0.000	eV/atom

Lattice parameters (Å, degrees): 3.890 13.034 10.530 90.00 90.00 90.00
Space group Cmcm (No. 63)
One atom of each set of equivalent atoms:
Na: 0.000 0.249 0.250 x4
Ho: 0.000 0.000 0.000 x4
Zn: 0.000 0.467 0.750 x4
S: 0.000 0.076 0.750 x4
S: 0.000 0.366 0.570 x8

# 14
Compound: Dy2ErPd2PtPb3
Source: OQMD via LeMat-Bulk
Functional: GGA-PBE
Structure: relaxed

Results
V	22.858	A^3/atom
calculated total energy	-95.96	eV for the cell shown

Lattice parameters (Å, degrees): 3.921 13.467 7.792 90.00 90.00 90.00
Space group Amm2 (No. 38)
One atom of each set of equivalent atoms:
Dy: 0.000 0.199 0.000 x4
Er: 0.000 0.000 0.403 x2
Pd: 0.500 0.166 0.301 x4
Pt: 0.000 0.000 0.800 x2
Pb: 0.500 0.000 0.069 x2
Pb: 0.500 0.134 0.666 x4

# 15
Compound: NiB4As
Source: OQMD via LeMat-Bulk
Functional: GGA-PBE
Structure: relaxed

Results
V	9.021	A^3/atom
excess energy over the best structure of this formula in the dataset	0.000	eV/atom

Lattice parameters (Å, degrees): 3.0507 3.0507 6.7157 90.00 90.00 120.00
Space group P6/mmm (No. 191)
One atom of each set of equivalent atoms:
Ni: 0.0000 0.0000 0.0000 x1
B: 0.3333 0.6667 0.2221 x4
As: 0.0000 0.0000 0.5000 x1

# 16
Compound: GdCuS2
Source: OQMD via LeMat-Bulk
Functional: GGA-PBE
Structure: relaxed

Results
V	23.599	A^3/atom
calculated total energy	-85.42	eV for the cell shown

Lattice parameters (Å, degrees): 5.659 5.659 11.789 90.00 90.00 90.00
Space group I-42d (No. 122)
One atom of each set of equivalent atoms:
Gd: 0.000 0.000 0.000 x4
Cu: 0.000 0.000 0.500 x4
S: 0.207 0.750 0.625 x8

# 17
Compound: HfBPdAu
Source: OQMD via LeMat-Bulk
Functional: GGA-PBE
Structure: relaxed

Results
V	15.578	A^3/atom
excess energy over the best structure of this formula in the dataset	0.154	eV/atom

Lattice parameters (Å, degrees): 6.293 6.293 6.293 90.00 90.00 90.00
Space group F-43m (No. 216)
One atom of each set of equivalent atoms:
Hf: 0.000 0.000 0.000 x4
B: 0.000 0.000 0.500 x4
Pd: 0.250 0.250 0.750 x4
Au: 0.250 0.250 0.250 x4

# 18
Compound: InPd2Pb3
Source: OQMD via LeMat-Bulk
Functional: GGA-PBE
Structure: relaxed

Results
V	23.359	A^3/atom
calculated total energy	-102.70	eV for the cell shown

Lattice parameters (Å, degrees): 5.860 9.704 9.859 90.00 90.00 90.00
Space group Fmm2 (No. 42)
One atom of each set of equivalent atoms:
In: 0.000 0.000 0.000 x4
Pd: 0.250 0.250 0.078 x8
Pb: 0.000 0.000 0.674 x4
Pb: 0.000 0.163 0.331 x8

# 19
Compound: Dy3SN2
Source: OQMD via LeMat-Bulk
Functional: GGA-PBE
Structure: relaxed

Results
V	16.607	A^3/atom
calculated total energy	-45.53	eV for the cell shown

Lattice parameters (Å, degrees): 3.5584 3.5584 9.0865 90.00 90.00 120.00
Space group P-3m1 (No. 164)
One atom of each set of equivalent atoms:
Dy: 0.0000 0.0000 0.0000 x1
Dy: 0.3333 0.6667 0.7050 x2
S: 0.0000 0.0000 0.5000 x1
N: 0.3333 0.6667 0.1599 x2

# 20
Compound: DyBr2
Source: OQMD via LeMat-Bulk
Functional: GGA-PBE
Structure: relaxed

Results
V	31.297	A^3/atom
calculated total energy	-24.86	eV for the cell shown

Lattice parameters (Å, degrees): 7.153 7.153 3.670 90.00 90.00 90.00
Space group P4_2/mnm (No. 136)
One atom of each set of equivalent atoms:
Dy: 0.000 0.000 0.000 x2
Br: 0.218 0.218 0.500 x4